Sr2TlNiC | GGA-PBE | optimized geometry

Unit cell a=5.7058 b=5.7058 c=3.6693 alpha=90.00 beta=90.00 gamma=90.00
Space group P4/mmm (No. 123)
Asymmetric unit:
Sr  0.0000  0.5000  0.0000 (multiplicity 2)
Tl  0.0000  0.0000  0.5000 (multiplicity 1)
Ni  0.5000  0.5000  0.5000 (multiplicity 1)
C  0.5000  0.5000  0.0000 (multiplicity 1)

## Properties
- DOS(E_F): 3.479 states/eV/f.u.
- E_form: -23 meV/atom
- VASP energy: -20.85 eV for the cell shown

=====

SrZrNi2C | GGA-PBE | optimized geometry

Unit cell a=4.8424 b=4.8424 c=4.3891 alpha=90.00 beta=90.00 gamma=90.00
Space group P4/mmm (No. 123)
Asymmetric unit:
Sr  0.0000  0.0000  0.0000 (multiplicity 1)
Zr  0.5000  0.5000  0.5000 (multiplicity 1)
Ni  0.0000  0.5000  0.5000 (multiplicity 2)
C  0.5000  0.5000  0.0000 (multiplicity 1)

## Properties
- DOS(E_F): 6.718 states/eV/f.u.
- E_form: 797 meV/atom
- VASP energy: -27.03 eV for the cell shown

=====

Ta3NiC | GGA-PBE | optimized geometry

Unit cell a=4.2281 b=4.2281 c=4.2281 alpha=90.00 beta=90.00 gamma=90.00
Space group Pm-3m (No. 221)
Asymmetric unit:
Ta  0.0000  0.0000  0.5000 (multiplicity 3)
Ni  0.5000  0.5000  0.5000 (multiplicity 1)
C  0.0000  0.0000  0.0000 (multiplicity 1)

## Properties
- E above lowest polymorph: 163 kJ/mol of formula units
- DOS(E_F): 7.548 states/eV/f.u.
- E_form: -89 meV/atom
- VASP energy: -51.01 eV for the cell shown

=====

Ta4NiC | GGA-PBE | optimized geometry

Unit cell a=5.6952 b=5.6703 c=5.7879 alpha=90.00 beta=96.92 gamma=90.00
Space group P2_1/c (No. 14)
Asymmetric unit:
Ta  0.1189  0.1610  0.1891 (multiplicity 4)
Ta  0.3378  0.6354  0.1133 (multiplicity 4)
Ni  0.5000  0.0000  0.0000 (multiplicity 2)
C  0.0000  0.0000  0.5000 (multiplicity 2)

## Properties
- DOS(E_F): 4.691 states/eV/f.u.
- E_form: -42 meV/atom
- VASP energy: -125.34 eV for the cell shown